Computed, not measured: crystalline CoSi2Rh at its relaxed geometry at the GGA-PBE level of DFT.

Unit cell a=8.3664 b=2.9380 c=4.1089 alpha=90.00 beta=104.27 gamma=90.00
Closest atoms and distances in Å follow each position.
Space group Cm (No. 8)
One atom of each set of equivalent atoms:
1 Co 0.0000 0.0000 0.0000 [2 per cell]  7 Si 2.38-2.66
2 Si 0.2310 0.5000 0.0997 [2 per cell]  3 Co 2.38, 4 Rh 2.53
3 Si 0.4885 0.0000 0.4539 [2 per cell]  3 Rh 2.39-2.44, 4 Co 2.39-2.66
4 Rh 0.2286 0.0000 0.5987 [2 per cell]  7 Si 2.39-2.53

Computed properties:
Formation energy without anion corrections: -0.586 eV/atom
D(E_F): 2.5 states/eV per cell

---

Computed, not measured: crystalline KNa2Hg7Pd2 at its relaxed geometry at the GGA-PBE level of DFT.

Unit cell a=8.8854 b=6.4678 c=10.9010 alpha=90.00 beta=90.05 gamma=90.00
Closest atoms and distances in Å follow each position.
Space group C2/m (No. 12)
One atom of each set of equivalent atoms:
1 K 0.0000 0.0000 0.0000 [2 per cell]  2 Hg 3.23
2 Na 0.0020 0.0000 0.3593 [4 per cell]  1 Na 3.07, 6 Hg 3.11-3.31
3 Hg 0.0000 0.5000 0.0000 [2 per cell]  2 Pd 2.75
4 Hg 0.1718 0.5000 0.4989 [4 per cell]  1 Hg 3.05, 2 Pd 3.08-3.12, 2 Na 3.28-3.31
5 Hg 0.2479 0.2504 0.7738 [8 per cell]  2 Pd 2.76
6 Pd 0.0024 0.5000 0.2523 [4 per cell]  6 Hg 2.75-3.08

Computed properties:
Energy relative to the elements: -221 kJ/mol of formula units
D(E_F): 5.6 states/eV per cell

---

Computed, not measured: crystalline Ce2NdMg2In2 at its relaxed geometry at the GGA-PBE level of DFT.

Unit cell a=4.8586 b=4.8586 c=27.4401 alpha=90.00 beta=90.00 gamma=120.00
Closest atoms and distances in Å follow each position.
Space group R-3m (No. 166, hexagonal axes)
One atom of each set of equivalent atoms:
1 Ce 0.0000 0.0000 0.1446 [6 per cell]  3 Ce 3.06, 3 Mg 3.34, 1 In 3.35
2 Nd 0.0000 0.0000 0.0000 [3 per cell]  6 In 3.35, 6 Mg 3.53
3 Mg 0.0000 0.0000 0.4116 [6 per cell]  3 In 2.82
4 In 0.0000 0.0000 0.2665 [6 per cell]  3 Mg 2.82

Computed properties:
Energy relative to the elements: -135 kJ/mol of formula units
D(E_F): 36.7 states/eV per cell

---

Computed, not measured: crystalline Ac2La8Nd3 at its relaxed geometry at the GGA-PBE level of DFT.

Unit cell a=6.7707 b=6.7707 c=38.6139 alpha=90.00 beta=90.00 gamma=120.00
Closest atoms and distances in Å follow each position.
Space group R-3m (No. 166, hexagonal axes)
One atom of each set of equivalent atoms:
1 Ac 0.0000 0.0000 0.1402 [6 per cell]  1 La 3.31
2 La 0.0000 0.0000 0.2260 [6 per cell]  1 Ac 3.31, 1 Nd 3.35
3 La 0.0075 0.5038 0.7195 [18 per cell]  4 La 3.31-3.46, 3 Nd 3.47-3.61
4 Nd 0.0000 0.0000 0.3127 [6 per cell]  10 La 3.35-3.61
5 Nd 0.0000 0.0000 0.5000 [3 per cell]  6 Ac 4.04

Computed properties:
Energy relative to the elements: 289 kJ/mol of formula units
D(E_F): 73.0 states/eV per cell

---

Computed, not measured: crystalline Pm8Sn2H at its relaxed geometry at the GGA-PBE level of DFT.

Unit cell a=18.0334 b=5.5620 c=6.5953 alpha=90.00 beta=108.70 gamma=90.00
Closest atoms and distances in Å follow each position.
Space group C2/m (No. 12)
One atom of each set of equivalent atoms:
1 Pm 0.0042 0.0000 0.2499 [4 per cell]  4 Pm 3.17-3.35, 2 H 3.22, 2 Sn 3.26-3.52
2 Pm 0.0821 0.5000 0.7636 [4 per cell]  1 H 2.47
3 Pm 0.1360 0.5000 0.3187 [4 per cell]  1 H 2.67
4 Pm 0.2143 0.0000 0.1440 [4 per cell]  4 Sn 3.23-3.51, 3 Pm 3.48-3.52
5 Sn 0.1725 0.0000 0.6291 [4 per cell]  11 Pm 3.23-3.52
6 H 0.0000 0.5000 0.0000 [2 per cell]  4 Pm 2.47-2.67

Computed properties:
Electronic total energy: -4.73 eV per atom
D(E_F): 29.0 states/eV per cell

---

Computed, not measured: crystalline PmHfZrIr2 at its relaxed geometry at the GGA-PBE level of DFT.

Unit cell a=4.5111 b=4.5111 c=11.0292 alpha=90.00 beta=90.00 gamma=90.00
Closest atoms and distances in Å follow each position.
Space group I-4m2 (No. 119)
One atom of each set of equivalent atoms:
1 Pm 0.0000 0.0000 0.0000 [2 per cell]  8 Ir 3.44, 4 Zr 3.56, 4 Hf 3.56
2 Hf 0.0000 0.5000 0.7500 [2 per cell]  4 Ir 2.69
3 Zr 0.0000 0.5000 0.2500 [2 per cell]  4 Ir 2.69
4 Ir 0.0000 0.0000 0.3827 [4 per cell]  1 Ir 2.59, 2 Hf 2.69, 2 Zr 2.69

Computed properties:
Energy relative to the elements: -379 kJ/mol of formula units
D(E_F): 8.3 states/eV per cell

---

Computed, not measured: crystalline PmSc3Au2 at its relaxed geometry at the GGA-PBE level of DFT.

Unit cell a=4.7407 b=8.5608 c=6.8765 alpha=90.00 beta=90.00 gamma=90.00
Closest atoms and distances in Å follow each position.
Space group Pmc2_1 (No. 26)
One atom of each set of equivalent atoms:
1 Pm 0.0000 0.0695 0.0000 [2 per cell]  3 Au 2.97-3.10
2 Sc 0.0000 0.3342 0.6359 [2 per cell]  4 Au 2.73-2.88
3 Sc 0.5000 0.1831 0.3328 [2 per cell]  4 Au 2.76-3.02
4 Sc 0.5000 0.4365 0.9677 [2 per cell]  3 Au 2.87-3.09
5 Au 0.0000 0.3584 0.2401 [2 per cell]  4 Sc 2.73-2.88, 1 Pm 2.97
6 Au 0.5000 0.1601 0.7328 [2 per cell]  5 Sc 2.76-3.02

Computed properties:
Energy relative to the elements: -353 kJ/mol of formula units
D(E_F): 13.2 states/eV per cell

---

Computed, not measured: crystalline Dy2ZnPd8 at its relaxed geometry at the GGA-PBE level of DFT.

Unit cell a=15.2058 b=4.5782 c=6.0414 alpha=90.00 beta=113.31 gamma=90.00
Closest atoms and distances in Å follow each position.
Space group C2/m (No. 12)
One atom of each set of equivalent atoms:
1 Dy 0.1915 0.0000 0.1911 [4 per cell]  12 Pd 2.81-3.06
2 Zn 0.0000 0.5000 0.5000 [2 per cell]  8 Pd 2.46-2.76
3 Pd 0.0002 0.0000 0.2464 [4 per cell]  2 Zn 2.76, 8 Pd 2.88-3.07, 2 Dy 3.06
4 Pd 0.1343 0.5000 0.3694 [4 per cell]  1 Zn 2.46
5 Pd 0.1337 0.5000 0.8994 [4 per cell]  1 Zn 2.46
6 Pd 0.1749 0.0000 0.6751 [4 per cell]  8 Pd 2.85-3.03, 4 Dy 2.95-3.03

Computed properties:
Energy relative to the elements: -643 kJ/mol of formula units
D(E_F): 7.5 states/eV per cell

---

Computed, not measured: crystalline Mg2PW at its relaxed geometry at the GGA-PBE level of DFT.

Unit cell a=2.8250 b=4.7682 c=5.0465 alpha=90.00 beta=101.08 gamma=90.00
Closest atoms and distances in Å follow each position.
Space group P2/m (No. 10)
One atom of each set of equivalent atoms:
1 Mg 0.1642 0.0000 0.2518 [2 per cell]  5 Mg 2.53-2.84, 2 P 2.77
2 P 0.5000 0.5000 0.5000 [1 per cell]  2 W 2.52, 4 Mg 2.77, 2 P 2.82
3 W 0.5000 0.5000 0.0000 [1 per cell]  2 P 2.52, 2 W 2.82

Computed properties:
Energy relative to the elements: 117 kJ/mol of formula units
D(E_F): 1.3 states/eV per cell

---

Computed, not measured: crystalline POsC at its relaxed geometry at the GGA-PBE level of DFT.

Unit cell a=2.7652 b=2.7652 c=16.9061 alpha=90.00 beta=90.00 gamma=120.00
Closest atoms and distances in Å follow each position.
Space group R3m (No. 160, hexagonal axes)
One atom of each set of equivalent atoms:
1 P 0.0000 0.0000 0.0000 [3 per cell]  1 C 1.83
2 Os 0.0000 0.0000 0.8493 [3 per cell]  3 C 2.03
3 C 0.0000 0.0000 0.1080 [3 per cell]  1 P 1.83, 3 Os 2.03

Computed properties:
Energy relative to the elements: 178 kJ/mol of formula units
D(E_F): 3.2 states/eV per cell

---

Computed, not measured: crystalline Rb2NpTeSe5 at its relaxed geometry at the GGA-PBE level of DFT.

Unit cell a=4.2639 b=19.2965 c=15.8775 alpha=90.00 beta=90.00 gamma=90.00
Closest atoms and distances in Å follow each position.
Space group Cmc2_1 (No. 36)
One atom of each set of equivalent atoms:
1 Rb 0.0000 0.0977 0.0000 [4 per cell]  6 Se 3.40-3.54
2 Rb 0.0000 0.1449 0.6657 [4 per cell]  8 Se 3.55-3.81
3 Np 0.0000 0.2055 0.3993 [4 per cell]  4 Se 2.63-2.79
4 Te 0.0000 0.4555 0.7840 [4 per cell]  2 Se 2.48-2.61
5 Se 0.0000 0.0753 0.4475 [4 per cell]  1 Np 2.63
6 Se 0.0000 0.2739 0.0094 [4 per cell]  2 Np 2.79
7 Se 0.0000 0.3202 0.7755 [4 per cell]  1 Te 2.61
8 Se 0.0000 0.3337 0.3426 [4 per cell]  1 Np 2.63
9 Se 0.0000 0.4970 0.6358 [4 per cell]  1 Te 2.48

Computed properties:
Formation energy without anion corrections: -0.761 eV/atom
D(E_F): 30.0 states/eV per cell